This record from Alexandria via LeMat-Bulk describes a geometry-optimized SmTm3Th structure. The functional is PBE-GGA.

Summary:
- Volume: 32.2 Å³/atom
- ΔE to the lowest computed polymorph: 51 meV per atom
- Formation energy: 154 meV per atom
- D(E_F): 1.355 states/eV/atom

Cell lengths 13.464, 12.889, 7.424 Å; angles 90.00, 90.00, 90.00 degrees
Space group Cmce (No. 64)
Symmetry-distinct sites (fractional):
Sm (0.250, 0.024, 0.250) [8 per cell]
Tm (0.000, 0.100, 0.141) [8 per cell]
Tm (0.151, 0.229, 0.880) [16 per cell]
Th (0.000, 0.110, 0.592) [8 per cell]